1.
Material: Y2SbSe
Method: DFT, PBE
State: optimized geometry

- Formation energy (no corrections): -124.13 kJ/mol of atoms
- Symmetry: Imm2
- Relative energy among the computed polymorphs: 0.746 eV/f.u.
- M_tot: 0.2150 μB per atom

Cell lengths 7.5953, 7.5953, 7.5953 Å; angles 149.88, 149.83, 43.16 degrees
Closest atoms and distances in Å follow each position.
Fractional positions:
1 Sb 0.4539 0.4539 0.0000  6 Y 3.07-3.11
2 Y 0.0504 0.0504 0.0000  2 Se 2.98, 4 Sb 3.11
3 Y 0.7875 0.2875 0.5000  4 Se 3.01, 2 Sb 3.07
4 Se 0.2081 0.7081 0.5000  6 Y 2.98-3.01

=====

2.
Material: YbSb2Se4
Method: DFT, PBE
State: optimized geometry

- Formation energy (no corrections): -67.42 kJ/mol of atoms
- Symmetry: Pnma
- M_tot: 0.0330 μB per atom

Cell lengths 4.0456, 12.7807, 14.9473 Å; angles 90.00, 90.00, 90.00 degrees
Closest atoms and distances in Å follow each position.
Fractional positions:
1 Sb 0.7500 0.9094 0.4044  3 Se 2.73-2.77
2 Sb 0.7500 0.4094 0.0956  3 Se 2.73-2.77
3 Sb 0.2500 0.5504 0.3845  6 Se 2.87-2.94
4 Sb 0.2500 0.5906 0.9044  3 Se 2.73-2.77
5 Sb 0.7500 0.9496 0.8845  6 Se 2.87-2.94
6 Sb 0.7500 0.4496 0.6155  6 Se 2.87-2.94
7 Sb 0.2500 0.0504 0.1155  6 Se 2.87-2.94
8 Sb 0.2500 0.0906 0.5956  3 Se 2.73-2.77
9 Yb 0.2500 0.7369 0.1685  7 Se 3.03-3.15
10 Yb 0.2500 0.2369 0.3315  7 Se 3.03-3.15
11 Yb 0.7500 0.2631 0.8315  7 Se 3.03-3.15
12 Yb 0.7500 0.7631 0.6685  7 Se 3.03-3.15
13 Se 0.7500 0.1179 0.4431  1 Sb 2.73, 2 Yb 3.03
14 Se 0.7500 0.6895 0.3158  3 Sb 2.88-3.11, 2 Yb 3.05
15 Se 0.2500 0.8105 0.8158  3 Sb 2.88-3.11, 2 Yb 3.05
16 Se 0.7500 0.1895 0.1842  3 Sb 2.88-3.11, 2 Yb 3.05
17 Se 0.7500 0.8904 0.0737  3 Sb 2.93-2.94, 2 Yb 3.15
18 Se 0.7500 0.6179 0.0569  1 Sb 2.73, 2 Yb 3.03
19 Se 0.2500 0.3105 0.6842  3 Sb 2.88-3.11, 2 Yb 3.05
20 Se 0.2500 0.8821 0.5569  1 Sb 2.73, 2 Yb 3.03
21 Se 0.7500 0.3904 0.4263  3 Sb 2.93-2.94, 2 Yb 3.15
22 Se 0.2500 0.6096 0.5737  3 Sb 2.93-2.94, 2 Yb 3.15
23 Se 0.7500 0.0645 0.7198  3 Sb 2.77-2.87, 1 Yb 3.04
24 Se 0.2500 0.9355 0.2802  3 Sb 2.77-2.87, 1 Yb 3.04
25 Se 0.2500 0.4355 0.2198  3 Sb 2.77-2.87, 1 Yb 3.04
26 Se 0.2500 0.3821 0.9431  1 Sb 2.73, 2 Yb 3.03
27 Se 0.2500 0.1096 0.9263  3 Sb 2.93-2.94, 2 Yb 3.15
28 Se 0.7500 0.5645 0.7802  3 Sb 2.77-2.87, 1 Yb 3.04

=====

3.
Material: ZnSbSe2
Method: DFT, PBE
State: optimized geometry

- Formation energy (no corrections): -10.61 kJ/mol of atoms
- Symmetry: I4/mmm
- Relative energy among the computed polymorphs: 0.502 eV/f.u.
- M_tot: 0.0000 μB per atom

Cell lengths 4.9326, 4.9377, 4.9319 Å; angles 72.02, 67.54, 107.98 degrees
Closest atoms and distances in Å follow each position.
Fractional positions:
1 Zn 0.0000 0.5000 0.5000  2 Sb 2.74, 4 Se 2.90
2 Sb 0.5000 0.5000 0.0000  2 Zn 2.74, 4 Se 2.90
3 Se 0.0000 0.0000 0.0000  2 Se 2.74, 2 Sb 2.90, 2 Zn 2.90
4 Se 0.5000 0.0000 0.5000  2 Se 2.74, 2 Zn 2.90, 2 Sb 2.90

=====

4.
Material: Zn2SbSe
Method: DFT, PBE
State: optimized geometry

- Formation energy (no corrections): 1.70 kJ/mol of atoms
- Symmetry: R3m
- M_tot: 0.0000 μB per atom

Cell lengths 6.6515, 6.6515, 6.6515 Å; angles 35.34, 35.34, 35.34 degrees
Closest atoms and distances in Å follow each position.
Fractional positions:
1 Zn 0.9997 0.9997 0.9997  3 Se 2.60, 3 Zn 2.76
2 Zn 0.7458 0.7458 0.7458  3 Sb 2.68, 3 Zn 2.76
3 Se 0.2713 0.2713 0.2713  3 Zn 2.60
4 Sb 0.4831 0.4831 0.4831  3 Zn 2.68

=====

5.
Material: ZnSbSe2
Method: DFT, PBE
State: optimized geometry

- Formation energy (no corrections): -18.74 kJ/mol of atoms
- Symmetry: Pmmm
- Relative energy among the computed polymorphs: 0.165 eV/f.u.
- M_tot: 0.0000 μB per atom

Cell lengths 4.0947, 4.1156, 5.6145 Å; angles 90.00, 90.00, 90.00 degrees
Closest atoms and distances in Å follow each position.
Fractional positions:
1 Sb 0.5000 0.5000 0.8749  6 Se 2.80-2.90
2 Zn 0.0000 0.0000 0.3746  6 Se 2.81-2.90
3 Se 0.5000 0.5000 0.3755  2 Sb 2.80-2.81, 4 Zn 2.90
4 Se 0.0000 0.0000 0.8750  2 Zn 2.81, 4 Sb 2.90

=====

6.
Material: Zn2SbSe
Method: DFT, PBE
State: optimized geometry

- Formation energy (no corrections): 21.68 kJ/mol of atoms
- Symmetry: I4/mmm
- M_tot: 0.0000 μB per atom

Cell lengths 5.1077, 5.1077, 5.1077 Å; angles 126.61, 126.61, 78.89 degrees
Closest atoms and distances in Å follow each position.
Fractional positions:
1 Zn 0.0000 0.0000 0.0000  4 Sb 3.03, 4 Se 3.03, 4 Zn 3.25
2 Zn 0.5000 0.5000 0.0000  4 Se 3.03, 4 Sb 3.03, 4 Zn 3.25
3 Sb 0.2500 0.7500 0.5000  8 Zn 3.03, 4 Se 3.25
4 Se 0.7500 0.2500 0.5000  8 Zn 3.03, 4 Sb 3.25

=====

7.
Material: ZnSbSe2
Method: DFT, PBE
State: optimized geometry

- Formation energy (no corrections): -0.71 kJ/mol of atoms
- Symmetry: Cmmm
- Relative energy among the computed polymorphs: 0.913 eV/f.u.
- M_tot: 0.0000 μB per atom

Cell lengths 3.9755, 3.9755, 7.6490 Å; angles 90.00, 90.00, 123.22 degrees
Closest atoms and distances in Å follow each position.
Fractional positions:
1 Zn 0.5000 0.5000 0.2500  4 Se 2.54
2 Sb 0.5000 0.5000 0.7500  4 Se 2.84
3 Se 0.0000 0.0000 0.0273  2 Zn 2.54, 2 Sb 2.84
4 Se 0.0000 0.0000 0.4727  2 Zn 2.54, 2 Sb 2.84

=====

8.
Material: ZnSbSe2
Method: DFT, PBE
State: optimized geometry

- Formation energy (no corrections): -8.75 kJ/mol of atoms
- Symmetry: R-3m
- Relative energy among the computed polymorphs: 0.579 eV/f.u.
- M_tot: 0.0000 μB per atom

Cell lengths 8.6237, 8.6237, 8.6237 Å; angles 25.01, 25.01, 25.01 degrees
Closest atoms and distances in Å follow each position.
Fractional positions:
1 Se 0.8907 0.8907 0.8907  3 Zn 2.59, 1 Sb 2.74
2 Se 0.1093 0.1093 0.1093  3 Zn 2.59, 1 Sb 2.74
3 Sb 0.0000 0.0000 0.0000  2 Se 2.74
4 Zn 0.5000 0.5000 0.5000  6 Se 2.59

=====

9.
Material: Zn2SbSe
Method: DFT, PBE
State: optimized geometry

- Formation energy (no corrections): 17.98 kJ/mol of atoms
- Symmetry: P4/mmm
- M_tot: 0.0000 μB per atom

Cell lengths 3.7457, 4.6965, 4.6965 Å; angles 90.00, 90.00, 90.00 degrees
Closest atoms and distances in Å follow each position.
Fractional positions:
1 Se 0.5000 0.0000 0.5000  8 Zn 3.00, 4 Sb 3.32
2 Zn 0.0000 0.5000 0.5000  4 Se 3.00, 4 Sb 3.00, 4 Zn 3.32
3 Zn 0.0000 0.0000 0.0000  4 Sb 3.00, 4 Se 3.00, 4 Zn 3.32
4 Sb 0.5000 0.5000 0.0000  8 Zn 3.00, 4 Se 3.32

=====

10.
Material: Zn2SbSe
Method: DFT, PBE
State: optimized geometry

- Formation energy (no corrections): 11.89 kJ/mol of atoms
- Symmetry: P4/mmm
- M_tot: 0.0000 μB per atom

Cell lengths 3.4453, 3.4453, 6.8958 Å; angles 90.00, 90.00, 90.00 degrees
Closest atoms and distances in Å follow each position.
Fractional positions:
1 Sb 0.5000 0.5000 0.2500  8 Zn 3.14, 4 Sb 3.45, 2 Se 3.45
2 Zn 0.0000 0.0000 0.9632  4 Se 2.85, 1 Zn 2.94, 4 Sb 3.14
3 Zn 0.0000 0.0000 0.5368  4 Se 2.85, 1 Zn 2.94, 4 Sb 3.14
4 Se 0.5000 0.5000 0.7500  8 Zn 2.85

=====

11.
Material: Zn2SbSe
Method: DFT, PBE
State: optimized geometry

- Formation energy (no corrections): 24.81 kJ/mol of atoms
- Symmetry: F-43m
- M_tot: 0.0000 μB per atom

Cell lengths 4.9232, 4.9232, 4.9232 Å; angles 60.00, 60.00, 60.00 degrees
Closest atoms and distances in Å follow each position.
Fractional positions:
1 Zn 0.0000 0.0000 0.0000  4 Se 3.01, 4 Zn 3.01
2 Zn 0.7500 0.7500 0.7500  4 Sb 3.01, 4 Zn 3.01
3 Sb 0.5000 0.5000 0.5000  4 Se 3.01, 4 Zn 3.01
4 Se 0.2500 0.2500 0.2500  4 Sb 3.01, 4 Zn 3.01

=====

12.
Material: Zn2SbSe
Method: DFT, PBE
State: optimized geometry

- Formation energy (no corrections): 9.09 kJ/mol of atoms
- Symmetry: Immm
- M_tot: 0.0000 μB per atom

Cell lengths 5.2584, 5.2584, 5.2584 Å; angles 137.65, 113.09, 82.47 degrees
Closest atoms and distances in Å follow each position.
Fractional positions:
1 Se 0.7500 0.2500 0.5000  4 Zn 2.64
2 Zn 0.9820 0.9820 0.0000  2 Se 2.64, 2 Sb 2.85
3 Zn 0.5180 0.5180 0.0000  2 Se 2.64, 2 Sb 2.85
4 Sb 0.2500 0.7500 0.5000  4 Zn 2.85

=====

13.
Material: ZnSbSe2
Method: DFT, PBE
State: optimized geometry

- Formation energy (no corrections): 9.58 kJ/mol of atoms
- Symmetry: Cmm2
- Relative energy among the computed polymorphs: 1.339 eV/f.u.
- M_tot: 0.0000 μB per atom

Cell lengths 3.6027, 3.6027, 8.7342 Å; angles 90.00, 90.00, 113.69 degrees
Closest atoms and distances in Å follow each position.
Fractional positions:
1 Se 0.0000 0.0000 0.9639  2 Sb 2.71
2 Se 0.5000 0.5000 0.3187  2 Zn 2.36
3 Sb 0.5000 0.5000 0.7502  2 Se 2.71
4 Zn 0.0000 0.0000 0.4671  2 Se 2.36

=====

14.
Material: ZnSbSe2
Method: DFT, PBE
State: optimized geometry

- Formation energy (no corrections): 9.93 kJ/mol of atoms
- Symmetry: P4/mmm
- Relative energy among the computed polymorphs: 1.354 eV/f.u.
- M_tot: 0.0000 μB per atom

Cell lengths 3.5216, 3.5216, 6.9134 Å; angles 90.00, 90.00, 90.00 degrees
Closest atoms and distances in Å follow each position.
Fractional positions:
1 Se 0.0000 0.0000 0.0105  4 Zn 2.99, 4 Sb 3.07, 1 Se 3.31
2 Se 0.0000 0.0000 0.4895  4 Zn 2.99, 4 Sb 3.07, 1 Se 3.31
3 Zn 0.5000 0.5000 0.2500  8 Se 2.99
4 Sb 0.5000 0.5000 0.7500  8 Se 3.07

=====

15.
Material: ZnSbSe2
Method: DFT, PBE
State: optimized geometry

- Formation energy (no corrections): 25.15 kJ/mol of atoms
- Symmetry: Pmmm
- Relative energy among the computed polymorphs: 1.985 eV/f.u.
- M_tot: 0.0000 μB per atom

Cell lengths 3.4077, 4.5360, 5.7373 Å; angles 90.00, 90.00, 90.00 degrees
Closest atoms and distances in Å follow each position.
Fractional positions:
1 Se 0.5000 0.5000 0.0000  4 Se 2.84
2 Se 0.0000 0.0000 0.0000  4 Se 2.84
3 Zn 0.5000 0.0000 0.5000  4 Sb 2.84
4 Sb 0.0000 0.5000 0.5000  4 Zn 2.84

=====

16.
Material: Zn2SbSe
Method: DFT, PBE
State: optimized geometry

- Formation energy (no corrections): 10.04 kJ/mol of atoms
- Symmetry: P2/m
- M_tot: 0.0000 μB per atom

Cell lengths 3.5966, 4.4598, 5.6580 Å; angles 85.47, 90.00, 90.00 degrees
Closest atoms and distances in Å follow each position.
Fractional positions:
1 Zn 0.0000 0.0000 0.0000  2 Se 2.83, 4 Zn 2.86
2 Zn 0.5000 0.5000 0.0000  2 Sb 2.83, 4 Zn 2.86
3 Sb 0.5000 0.5000 0.5000  2 Zn 2.83, 4 Se 2.86
4 Se 0.0000 0.0000 0.5000  2 Zn 2.83, 4 Sb 2.86

=====

17.
Material: Zn2SbSe
Method: DFT, PBE
State: optimized geometry

- Formation energy (no corrections): -0.69 kJ/mol of atoms
- Symmetry: P2/m
- M_tot: 0.0000 μB per atom

Cell lengths 3.7920, 4.4253, 5.5468 Å; angles 74.14, 90.00, 90.00 degrees
Closest atoms and distances in Å follow each position.
Fractional positions:
1 Se 0.5000 0.7500 0.7500  4 Zn 2.67
2 Zn 0.0000 0.5608 0.4848  2 Se 2.67, 1 Zn 2.68, 2 Sb 2.86
3 Zn 0.0000 0.9392 0.0152  2 Se 2.67, 1 Zn 2.68, 2 Sb 2.86
4 Sb 0.5000 0.2500 0.2500  4 Zn 2.86, 2 Se 3.04

=====

18.
Material: Zn4SbSe
Method: DFT, PBE
State: optimized geometry

- Formation energy (no corrections): 16.60 kJ/mol of atoms
- Symmetry: F-43m
- M_tot: 0.0000 μB per atom

Cell lengths 5.4159, 5.4159, 5.4159 Å; angles 60.00, 60.00, 60.00 degrees
Closest atoms and distances in Å follow each position.
Fractional positions:
1 Zn 0.3748 0.8757 0.3748  6 Zn 2.70-2.71
2 Zn 0.3748 0.3748 0.3748  6 Zn 2.70-2.71
3 Zn 0.8757 0.3748 0.3748  6 Zn 2.70-2.71
4 Zn 0.3748 0.3748 0.8757  6 Zn 2.70-2.71
5 Se 0.0000 0.0000 0.0000  12 Zn 3.17, 4 Sb 3.32
6 Sb 0.7500 0.7500 0.7500  12 Zn 3.18, 4 Se 3.32

=====

19.
Material: Zn2SbSe
Method: DFT, PBE
State: optimized geometry

- Formation energy (no corrections): -11.07 kJ/mol of atoms
- Symmetry: P4mm
- M_tot: 0.0000 μB per atom

Cell lengths 3.6468, 3.6468, 7.1999 Å; angles 90.00, 90.00, 90.00 degrees
Closest atoms and distances in Å follow each position.
Fractional positions:
1 Zn 0.5000 0.5000 0.2284  1 Se 2.47
2 Zn 0.0000 0.0000 0.9922  4 Se 2.69, 1 Sb 2.90
3 Sb 0.0000 0.0000 0.3947  5 Zn 2.84-2.90
4 Se 0.5000 0.5000 0.8847  5 Zn 2.47-2.69

=====

20.
Material: ZnSbSe2
Method: DFT, PBE
State: optimized geometry

- Formation energy (no corrections): -15.32 kJ/mol of atoms
- Symmetry: I-42d
- Relative energy among the computed polymorphs: 0.307 eV/f.u.
- M_tot: 0.0000 μB per atom

Cell lengths 6.9513, 6.9513, 6.5620 Å; angles 58.02, 58.02, 90.00 degrees
Closest atoms and distances in Å follow each position.
Fractional positions:
1 Zn 0.2500 0.7500 0.5000  4 Se 2.52
2 Zn 0.5000 0.5000 0.0000  4 Se 2.52
3 Sb 0.7500 0.2500 0.5000  4 Se 2.88
4 Sb 0.0000 0.0000 0.0000  4 Se 2.88
5 Se 0.5850 0.1250 0.2500  2 Zn 2.52
6 Se 0.3750 0.4150 0.7500  2 Zn 2.52
7 Se 0.1650 0.6250 0.2500  2 Zn 2.52
8 Se 0.8750 0.8350 0.7500  2 Zn 2.52